No. 1
VASP calculation (GGA-PBE) on a geometry-optimized ErAlIn structure.

```
3
Lattice="-2.984 -0.149 -1.669 -0.413 -3.238 1.029 -1.128 3.606 5.203" Properties=species:S:1:pos:R:3 pbc="T T T"
Al -2.673 -1.035 1.363
In -1.802 1.219 3.112
Er -0.051 0.034 0.088
```

## Properties
Space group: No. 107
ΔH_f (0 K): -4.81 kcal/mol of atoms

No. 2
VASP calculation (GGA-PBE) on a geometry-optimized ZrHgAs2 structure.

```
4
Lattice="6.321 -0.039 -0.045 5.256 3.510 -0.045 0.023 0.007 3.984" Properties=species:S:1:pos:R:3 pbc="T T T"
Zr 8.196 2.458 3.425
As 0.421 0.126 3.480
Hg 5.677 1.702 1.446
As 3.128 0.938 1.473
```

## Properties
Space group: No. 8
ΔH_f (0 K): -8.43 kcal/mol of atoms

No. 3
VASP calculation (GGA-PBE) on a geometry-optimized Y4ZrCu structure.

```
6
Lattice="6.219 -0.438 0.247 2.740 -2.788 4.863 2.768 -5.543 -0.735" Properties=species:S:1:pos:R:3 pbc="T T T"
Y 7.497 -3.513 1.767
Y 5.768 -4.681 4.061
Cu 0.000 0.000 0.000
Y 5.783 -6.050 1.279
Y 4.407 -3.296 1.644
Zr 8.796 -6.577 3.282
```

## Properties
Space group: No. 216
ΔH_f (0 K): 15.52 kcal/mol of atoms

No. 4
VASP calculation (GGA-PBE) on a geometry-optimized Na4NdNp3Se8 structure.

```
16
Lattice="-0.557 -8.078 2.384 7.676 0.546 3.642 -6.060 5.465 2.160" Properties=species:S:1:pos:R:3 pbc="T T T"
Na -0.279 -4.039 1.192
Na -3.309 -1.306 2.272
Se 1.818 -1.886 1.616
Se 2.232 -2.949 5.470
Se -0.760 -0.181 6.569
Np 0.808 3.006 2.901
Se -0.486 3.799 5.395
Np 0.529 -1.033 4.093
Se -1.442 -3.172 3.856
Na -3.030 2.733 1.080
Np 3.559 -3.766 3.013
Se -1.173 0.883 2.716
Na 0.000 0.000 0.000
Nd 3.838 0.273 1.821
Se 1.544 -5.865 2.791
Se 2.500 1.106 4.330
```

## Properties
Space group: No. 166
Formation energy (no corrections): -1317 meV per atom

No. 5
VASP calculation (GGA-PBE) on a geometry-optimized Tl2SiSnAs structure.

```
5
Lattice="-5.700 -0.443 0.370 -0.316 -0.341 -5.270 0.465 -5.700 0.341" Properties=species:S:1:pos:R:3 pbc="T T T"
Sn 0.000 0.000 0.000
As -0.158 -0.171 -2.635
Tl 0.233 -2.850 0.171
Tl -2.850 -0.221 0.185
Si -2.775 -3.242 -2.280
```

## Properties
Space group: No. 123
Formation energy (no corrections): 931 meV per atom

No. 6
VASP calculation (GGA-PBE) on a geometry-optimized BeAgPd2 structure.

```
4
Lattice="-1.960 0.542 1.969 1.001 -2.124 1.581 4.380 4.406 3.148" Properties=species:S:1:pos:R:3 pbc="T T T"
Pd 3.509 3.530 2.522
Be -0.480 -0.791 1.775
Pd 0.872 0.877 0.626
Ag 1.711 1.412 3.349
```

## Properties
Space group: No. 123
ΔH_f (0 K): -8.44 kcal/mol of atoms

Energy? In order: -11.669; -19.612; -34.463; -97.812; -14.155; -18.427 eV/f.u..